1.
First-principles (meta-GGA SCAN) data for a PBEsol-optimized structure of LiSc, as listed in the Alexandria database.

Unit cell a=3.0977 b=3.0977 c=15.6830 alpha=90.00 beta=90.00 gamma=120.00
Space group R-3m (No. 166, hexagonal axes)
One atom of each set of equivalent atoms:
1 Li 0.0000 0.0000 0.0000
2 Sc 0.0000 0.0000 0.5000

Output
- energy of formation (meV/atom) = 229
- total DFT energy (no corrections) (eV/atom) = -8.084
- theoretical density (g/cm³) = 2.0
- distance to the lowest polymorph of the same formula (eV/atom) = 0.139
- crystal system = trigonal

2.
First-principles (meta-GGA SCAN) data for a PBEsol-optimized structure of BiBCl2, as listed in the Alexandria database.

Unit cell a=9.0397 b=9.0397 c=9.0397 alpha=90.00 beta=90.00 gamma=90.00
Space group Fd-3m (No. 227, origin choice 2)
One atom of each set of equivalent atoms:
1 Bi 0.1250 0.1250 0.1250
2 B 0.1250 0.1250 0.6250
3 Cl 0.0000 0.0000 0.5000

Output
- total DFT energy (no corrections) (eV/atom) = -24.949
- theoretical density (g/cm³) = 5.2
- distance to the lowest polymorph of the same formula (eV/atom) = 0.349
- crystal system = cubic

3.
First-principles (meta-GGA SCAN) data for a PBEsol-optimized structure of TlHg2Ru, as listed in the Alexandria database.

Unit cell a=6.8223 b=6.8223 c=6.8223 alpha=90.00 beta=90.00 gamma=90.00
Space group Fm-3m (No. 225)
One atom of each set of equivalent atoms:
1 Tl 0.0000 0.0000 0.0000
2 Hg 0.2500 0.2500 0.2500
3 Ru 0.0000 0.0000 0.5000

Output
- energy of formation (meV/atom) = 704
- total DFT energy (no corrections) (eV/atom) = -60.175
- theoretical density (g/cm³) = 14.8
- distance to the lowest polymorph of the same formula (eV/atom) = 0.269
- crystal system = cubic

4.
First-principles (meta-GGA SCAN) data for a PBEsol-optimized structure of MgFe2Br, as listed in the Alexandria database.

Unit cell a=3.1031 b=4.5785 c=4.7540 alpha=90.00 beta=97.03 gamma=90.00
Space group P2/m (No. 10)
One atom of each set of equivalent atoms:
1 Mg 0.0000 0.0000 0.0000
2 Fe 0.3316 0.5000 0.1938
3 Br 0.5000 0.0000 0.5000

Output
- total DFT energy (no corrections) (eV/atom) = -14.805
- theoretical density (g/cm³) = 5.3
- crystal system = monoclinic

5.
First-principles (meta-GGA SCAN) data for a PBEsol-optimized structure of LaIn, as listed in the Alexandria database.

Unit cell a=6.4964 b=6.4964 c=6.4964 alpha=90.00 beta=90.00 gamma=90.00
Space group Fm-3m (No. 225)
One atom of each set of equivalent atoms:
1 La 0.0000 0.0000 0.0000
2 In 0.0000 0.0000 0.5000

Output
- energy of formation (meV/atom) = -306
- total DFT energy (no corrections) (eV/atom) = -38.552
- theoretical density (g/cm³) = 6.1
- crystal system = cubic

6.
First-principles (meta-GGA SCAN) data for a PBEsol-optimized structure of CaTc, as listed in the Alexandria database.

Unit cell a=4.0460 b=4.0460 c=23.6331 alpha=90.00 beta=90.00 gamma=120.00
Space group R-3m (No. 166, hexagonal axes)
One atom of each set of equivalent atoms:
1 Ca 0.0000 0.0000 0.0907
2 Tc 0.0000 0.0000 0.3401

Output
- energy of formation (meV/atom) = 165
- total DFT energy (no corrections) (eV/atom) = -22.197
- theoretical density (g/cm³) = 4.1
- distance to the lowest polymorph of the same formula (eV/atom) = 0.000
- crystal system = trigonal

7.
First-principles (meta-GGA SCAN) data for a PBEsol-optimized structure of LiRh3, as listed in the Alexandria database.

Unit cell a=5.2302 b=7.6487 c=2.6102 alpha=90.00 beta=90.00 gamma=90.00
Space group Cmmm (No. 65)
One atom of each set of equivalent atoms:
1 Li 0.0000 0.0000 0.0000
2 Rh 0.0000 0.5000 0.0000
3 Rh 0.2500 0.2500 0.5000

Output
- energy of formation (meV/atom) = -91
- total DFT energy (no corrections) (eV/atom) = -26.017
- theoretical density (g/cm³) = 10.0
- crystal system = orthorhombic

8.
First-principles (meta-GGA SCAN) data for a PBEsol-optimized structure of CoHNO2, as listed in the Alexandria database.

Unit cell a=3.6720 b=3.6720 c=3.4513 alpha=90.00 beta=90.00 gamma=90.00
Space group P4/mmm (No. 123)
One atom of each set of equivalent atoms:
1 Co 0.0000 0.0000 0.0000
2 H 0.5000 0.5000 0.5000
3 N 0.0000 0.0000 0.5000
4 O 0.0000 0.5000 0.0000

Output
- total DFT energy (no corrections) (eV/atom) = -7.651
- theoretical density (g/cm³) = 3.8
- crystal system = tetragonal

9.
First-principles (meta-GGA SCAN) data for a PBEsol-optimized structure of MnZn2Cr, as listed in the Alexandria database.

Unit cell a=5.9307 b=5.9307 c=5.9307 alpha=90.00 beta=90.00 gamma=90.00
Space group Fm-3m (No. 225)
One atom of each set of equivalent atoms:
1 Mn 0.0000 0.0000 0.0000
2 Zn 0.2500 0.2500 0.2500
3 Cr 0.0000 0.0000 0.5000

Output
- energy of formation (meV/atom) = -15
- total DFT energy (no corrections) (eV/atom) = -15.933
- theoretical density (g/cm³) = 7.6
- distance to the lowest polymorph of the same formula (eV/atom) = 0.000
- crystal system = cubic

10.
First-principles (meta-GGA SCAN) data for a PBEsol-optimized structure of ZnOsSe2, as listed in the Alexandria database.

Unit cell a=3.1723 b=3.1723 c=6.9222 alpha=90.00 beta=90.00 gamma=90.00
Space group P4mm (No. 99)
One atom of each set of equivalent atoms:
1 Zn 0.0000 0.0000 0.0000
2 Os 0.5000 0.5000 0.2291
3 Se 0.0000 0.0000 0.4190
4 Se 0.5000 0.5000 0.8355

Output
- total DFT energy (no corrections) (eV/atom) = -31.088
- theoretical density (g/cm³) = 9.9
- crystal system = tetragonal

11.
First-principles (meta-GGA SCAN) data for a PBEsol-optimized structure of CaLa2Pd2, as listed in the Alexandria database.

Unit cell a=4.8111 b=4.8111 c=12.0731 alpha=90.00 beta=90.00 gamma=90.00
Space group I4/mmm (No. 139)
One atom of each set of equivalent atoms:
1 Ca 0.0000 0.0000 0.0000
2 La 0.0000 0.5000 0.2500
3 Pd 0.0000 0.0000 0.3918

Output
- energy of formation (meV/atom) = -510
- total DFT energy (no corrections) (eV/atom) = -32.795
- theoretical density (g/cm³) = 6.3
- distance to the lowest polymorph of the same formula (eV/atom) = 0.216
- crystal system = tetragonal

12.
First-principles (meta-GGA SCAN) data for a PBEsol-optimized structure of MgGaCoPb2, as listed in the Alexandria database.

Unit cell a=5.3792 b=5.3792 c=4.4438 alpha=90.00 beta=90.00 gamma=90.00
Space group P4/mmm (No. 123)
One atom of each set of equivalent atoms:
1 Mg 0.0000 0.0000 0.0000
2 Ga 0.5000 0.5000 0.5000
3 Co 0.5000 0.5000 0.0000
4 Pb 0.0000 0.5000 0.5000

Output
- energy of formation (meV/atom) = 560
- total DFT energy (no corrections) (eV/atom) = -37.477
- theoretical density (g/cm³) = 7.3
- crystal system = tetragonal

> Among the records above, which one has the lowest total DFT energy (no corrections)?

TlHg2Ru

> Which value of theoretical density does entry 7 give?

10.0 g/cm³

> theoretical density of number 12 (MgGaCoPb2)?

7.3 g/cm³